Entry 1:
The following is a DFT calculation (PBE-GGA) of a geometry-optimized SiGeI3 structure.

```
5
Lattice="5.752 0.000 0.000 0.000 5.752 0.000 0.000 0.000 5.752" Properties=species:S:1:pos:R:3 pbc="T T T"
Si 0.000 0.000 0.000
Ge 2.876 2.876 2.876
I 0.000 2.876 2.876
I 2.876 0.000 2.876
I 2.876 2.876 0.000
```

=====

Entry 2:
The following is a DFT calculation (PBE-GGA) of a geometry-optimized Si2Ge2I structure.

```
5
Lattice="-2.359 2.359 4.740 2.359 -2.359 4.740 2.359 2.359 -4.740" Properties=species:S:1:pos:R:3 pbc="T T T"
Si 0.000 0.000 1.225
Si 0.000 0.000 8.255
Ge 2.359 0.000 2.370
Ge 0.000 2.359 2.370
I 0.000 0.000 4.740
```

=====

Entry 3:
The following is a DFT calculation (PBE-GGA) of a geometry-optimized Si2GeI structure.

```
4
Lattice="0.000 3.480 3.480 3.480 0.000 3.480 3.480 3.480 0.000" Properties=species:S:1:pos:R:3 pbc="T T T"
Si 1.740 1.740 1.740
Si 5.220 5.220 5.220
Ge 0.000 0.000 0.000
I 3.480 3.480 3.480
```

=====

Entry 4:
The following is a DFT calculation (PBE-GGA) of a geometry-optimized SiGe2I structure.

```
8
Lattice="-3.507 3.507 4.599 3.507 -3.507 4.599 3.507 3.507 -4.599" Properties=species:S:1:pos:R:3 pbc="T T T"
Si 0.000 0.000 0.000
Si 0.000 3.507 2.300
Ge 5.260 1.280 -1.150
Ge 1.280 1.753 1.150
Ge -1.753 2.226 3.450
Ge 2.226 1.753 5.749
I 3.507 0.000 2.300
I 0.000 0.000 4.599
```

=====

Entry 5:
The following is a DFT calculation (PBE-GGA) of a geometry-optimized SiGe2I structure.

```
4
Lattice="0.000 3.556 3.556 3.556 0.000 3.556 3.556 3.556 0.000" Properties=species:S:1:pos:R:3 pbc="T T T"
Si 0.000 0.000 0.000
Ge 1.778 1.778 1.778
Ge 5.334 5.334 5.334
I 3.556 3.556 3.556
```

=====

Entry 6:
The following is a DFT calculation (PBE-GGA) of a geometry-optimized SiGeI3 structure.

```
5
Lattice="5.606 0.000 0.000 0.000 5.606 0.000 0.000 0.000 5.606" Properties=species:S:1:pos:R:3 pbc="T T T"
Si 0.000 0.000 0.000
Ge 2.803 2.803 2.803
I 0.000 0.000 2.803
I 0.000 2.803 0.000
I 2.803 0.000 0.000
```

=====

Entry 7:
The following is a DFT calculation (PBE-GGA) of a geometry-optimized Si2Ge2I structure.

```
5
Lattice="-1.870 1.870 8.124 1.870 -1.870 8.124 1.870 1.870 -8.124" Properties=species:S:1:pos:R:3 pbc="T T T"
Si 1.870 0.000 4.062
Si 0.000 1.870 4.062
Ge 0.000 0.000 2.116
Ge 0.000 0.000 14.132
I 0.000 0.000 8.124
```

=====

Entry 8:
The following is a DFT calculation (PBE-GGA) of a geometry-optimized Si2GeI structure.

```
8
Lattice="-3.443 3.443 4.456 3.443 -3.443 4.456 3.443 3.443 -4.456" Properties=species:S:1:pos:R:3 pbc="T T T"
Si 1.722 1.320 -1.114
Si 2.123 -1.722 5.570
Si 1.722 2.123 3.342
Si 1.320 5.165 1.114
Ge 0.000 0.000 0.000
Ge 0.000 3.443 2.228
I 3.443 0.000 2.228
I 0.000 0.000 4.456
```

=====

no.,Fermi-level density of states (states/eV per cell),raw formation energy (eV per atom)
1,2.34,0.5159
2,1.33,0.2510
3,3.51,0.8524
4,6.05,0.4365
5,3.11,0.6968
6,2.23,0.4077
7,1.28,0.2649
8,5.32,0.6358